VASP calculation (PBE) on a geometry-optimized TiBeB3 structure.

It has space group Pm-3m (No. 221), with a = 3.548 Å, b = 3.548 Å, c = 3.548 Å, α = 90.00°, β = 90.00° and γ = 90.00°. The asymmetric unit holds Ti at (0.000, 0.000, 0.000), Be at (0.500, 0.500, 0.500) and B at (0.000, 0.500, 0.500).

The calculation puts the total DFT energy (no corrections) at -5.48 eV per atom. For the density of states at the Fermi level, the calculation gives 2.04 states/eV/cell. Its volume is 45 Å³/cell. Its crystal system is cubic. The calculation puts the energy of formation at 413 kJ/mol of formula units.